1.
The following is a PBE calculation of a relaxed structure of YTm3C2, from the Alexandria database.

Geometry as extended XYZ:
```
12
Lattice="11.423 3.142 4.648 7.557 9.124 4.647 4.180 2.702 5.332" Properties=species:S:1:pos:R:3 pbc="T T T"
Tm 13.756 6.763 8.688
Tm 11.344 5.204 5.940
C 3.779 4.562 2.324
C 5.711 1.571 2.324
Tm 15.121 9.772 8.253
Y 17.471 11.291 10.999
Tm 8.039 5.196 6.374
Tm 9.404 8.205 5.940
C 9.490 6.133 4.648
Tm 11.816 9.764 8.687
C 0.000 0.000 0.000
Y 5.689 3.677 3.628
```

Properties
Calculated formation energy: -330 meV per atom
Uncorrected energy: -0.49371 Ry per atom
Symmetry: C2/m (12)
V: 132 Å³/f.u.
Size of the total moment: 0.77 μB per formula unit

---

2.
The following is a PBE calculation of a relaxed structure of MnCu2Cl, from the Alexandria database.

Geometry as extended XYZ:
```
4
Lattice="3.218 0.000 0.000 0.000 3.266 -0.082 0.000 0.134 6.209" Properties=species:S:1:pos:R:3 pbc="T T T"
Cu 0.000 2.453 0.251
Cu 0.000 2.514 2.730
Mn 1.609 0.850 1.532
Cl 1.609 2.550 4.595
```

Properties
Uncorrected energy: -0.34272 Ry per atom
Symmetry: P2/m (10)
Energy above the lowest structure with this stoichiometry: 128 meV per atom
V: 65 Å³/f.u.
Uncorrected formation energy: 0.139 eV per atom
Size of the total moment: 4.26 μB per formula unit

---

3.
The following is a PBE calculation of a relaxed structure of CsY2SnTe, from the Alexandria database.

Geometry as extended XYZ:
```
5
Lattice="5.777 0.000 0.000 0.000 6.570 0.000 0.000 0.000 5.777" Properties=species:S:1:pos:R:3 pbc="T T T"
Y 0.000 0.000 2.889
Te 0.000 0.000 0.000
Cs 0.000 3.285 0.000
Y 2.889 0.000 0.000
Sn 2.889 3.285 2.889
```

Properties
Uncorrected energy: -0.30440 Ry per atom
Symmetry: P4/mmm (123)
V: 219 Å³/f.u.
Uncorrected formation energy: 0.044 eV per atom
Size of the total moment: 0.00 μB per formula unit

---

4.
The following is a PBE calculation of a relaxed structure of K2BaBe, from the Alexandria database.

Geometry as extended XYZ:
```
4
Lattice="8.018 0.005 -0.061 -4.843 6.390 -0.061 1.223 2.463 3.603" Properties=species:S:1:pos:R:3 pbc="T T T"
Be -1.810 4.426 1.771
Ba 4.620 1.234 1.771
K 1.587 3.198 -0.061
K 0.000 0.000 0.000
```

Properties
Calculated formation energy: 669 meV per atom
Uncorrected energy: -0.09496 Ry per atom
Symmetry: C2/m (12)
V: 187 Å³/f.u.
Size of the total moment: 0.04 μB per formula unit

---

5.
The following is a PBE calculation of a relaxed structure of AcPm2Er7, from the Alexandria database.

Geometry as extended XYZ:
```
10
Lattice="3.587 0.000 0.000 0.000 9.642 -3.566 0.000 0.057 10.280" Properties=species:S:1:pos:R:3 pbc="T T T"
Pm 1.794 7.902 -1.053
Er 3.587 3.260 5.653
Er 1.793 5.829 6.841
Pm 1.793 1.796 7.767
Er 1.793 1.243 3.666
Ac 0.000 0.000 0.000
Er 1.793 4.849 3.357
Er 1.793 8.455 3.048
Er 1.793 3.869 -0.127
Er 0.000 6.438 1.061
```

Properties
Calculated formation energy: 436 meV per atom
Uncorrected energy: -0.30272 Ry per atom
Symmetry: Cmmm (65)
V: 356 Å³/f.u.
Size of the total moment: 0.00 μB per formula unit

---

6.
The following is a PBE calculation of a relaxed structure of Si2SbF, from the Alexandria database.

Geometry as extended XYZ:
```
4
Lattice="1.031 -4.270 1.476 -3.005 -3.466 -0.656 0.952 -3.343 -3.064" Properties=species:S:1:pos:R:3 pbc="T T T"
Sb -0.511 -5.539 -1.122
Si -0.255 -2.770 -0.561
F 0.000 0.000 0.000
Si -0.766 -8.309 -1.683
```

Properties
Uncorrected energy: -0.31463 Ry per atom
Symmetry: Fm-3m (225)
Energy above the lowest structure with this stoichiometry: 115 meV per atom
V: 70 Å³/f.u.
Uncorrected formation energy: -0.071 eV per atom
Size of the total moment: 0.00 μB per formula unit

---

7.
The following is a PBE calculation of a relaxed structure of La3Sm5Dy4, from the Alexandria database.

Geometry as extended XYZ:
```
12
Lattice="6.976 -0.378 1.915 -5.212 7.510 -6.945 4.051 -3.768 11.877" Properties=species:S:1:pos:R:3 pbc="T T T"
Sm 5.513 -2.073 6.896
Sm 3.209 -0.115 8.877
La 1.251 3.578 2.920
La 4.564 -0.214 3.927
Sm 3.589 1.612 0.940
Dy 4.761 3.405 3.906
Dy 1.054 -0.041 2.941
Dy 0.096 1.807 -0.018
Sm 2.226 1.752 5.907
Sm 2.607 3.479 -2.030
Dy 5.719 1.557 6.865
La 2.026 -1.884 5.938
```

Properties
Calculated formation energy: 22 meV per atom
Uncorrected energy: -0.34622 Ry per atom
Symmetry: P-1 (2)
Energy above the lowest structure with this stoichiometry: 0 meV per atom
V: 406 Å³/f.u.
Size of the total moment: 0.00 μB per formula unit

---

8.
The following is a PBE calculation of a relaxed structure of RbMg, from the Alexandria database.

Geometry as extended XYZ:
```
4
Lattice="-3.651 1.715 -0.800 -2.090 -3.268 2.535 1.020 6.372 9.055" Properties=species:S:1:pos:R:3 pbc="T T T"
Mg -2.741 3.717 4.650
Rb -1.223 0.840 2.192
Rb -3.498 3.979 8.598
Mg -1.981 1.102 6.140
```

Properties
Calculated formation energy: 218 meV per atom
Uncorrected energy: -0.07814 Ry per atom
Symmetry: P2_1/m (11)
V: 106 Å³/f.u.
Size of the total moment: 0.00 μB per formula unit

---

9.
The following is a PBE calculation of a relaxed structure of CeTh4Sc3, from the Alexandria database.

Geometry as extended XYZ:
```
8
Lattice="-2.590 2.091 -0.863 -2.205 -3.872 -2.766 -6.510 -3.754 10.444" Properties=species:S:1:pos:R:3 pbc="T T T"
Sc -2.842 -1.639 4.560
Th -5.686 -1.487 6.613
Ce -2.845 -1.149 -1.096
Th -1.166 -0.672 1.870
Th -6.430 -5.009 7.165
Sc -7.368 -2.457 9.312
Th -4.517 -2.113 1.585
Sc -4.775 -4.054 4.509
```

Properties
Calculated formation energy: 58 meV per atom
Uncorrected energy: -0.49742 Ry per atom
Symmetry: Pmm2 (25)
V: 232 Å³/f.u.
Size of the total moment: 0.02 μB per formula unit

---

10.
The following is a PBE calculation of a relaxed structure of NaSr3Mg8, from the Alexandria database.

Geometry as extended XYZ:
```
12
Lattice="-3.017 -4.275 -3.621 -2.723 -5.086 2.683 -10.843 2.244 0.794" Properties=species:S:1:pos:R:3 pbc="T T T"
Mg -5.912 -6.215 1.082
Mg -4.550 -3.671 -0.260
Mg -11.465 -4.697 -1.676
Mg -12.826 -7.239 -0.334
Na -9.113 -7.335 -0.520
Sr -8.237 -3.591 -0.079
Mg -11.318 -5.102 1.476
Sr -11.616 -1.562 0.340
Mg -5.810 -0.780 0.170
Mg -6.059 -5.809 -2.072
Mg -14.118 -4.329 0.100
Sr -5.806 -9.322 -0.929
```

Properties
Calculated formation energy: -58 meV per atom
Uncorrected energy: -0.12135 Ry per atom
Symmetry: R3m (160)
V: 367 Å³/f.u.
Size of the total moment: 0.00 μB per formula unit

---

11.
The following is a PBE calculation of a relaxed structure of CoOs, from the Alexandria database.

Geometry as extended XYZ:
```
4
Lattice="-1.474 1.142 1.925 -2.230 -0.553 -1.379 -0.502 -6.219 3.306" Properties=species:S:1:pos:R:3 pbc="T T T"
Co -1.971 -1.182 1.058
Co -0.006 -0.078 0.041
Os -2.233 -4.432 2.786
Os -0.246 -3.047 1.620
```

Properties
Calculated formation energy: 184 meV per atom
Uncorrected energy: -0.66032 Ry per atom
Symmetry: P4/nmm (129)
V: 25 Å³/f.u.
Size of the total moment: 1.30 μB per formula unit

---

- Among the records above, which one has the lowest V?
  CoOs